1.
HfPHO2 | PBE | relaxed

Values from the calculation:
Calculated total energy (eV/atom): -6.45
Crystal system: tetragonal

```
HfPHO2
1.0
3.974 0.000 0.000
0.000 3.974 0.000
0.000 0.000 5.596
Hf P H O
1 1 1 2
Cartesian
0.000 0.000 0.000
0.000 0.000 2.798
1.987 1.987 2.798
0.000 1.987 0.000
1.987 0.000 0.000
```



2.
HfPHO2 | PBE | relaxed

Values from the calculation:
Calculated total energy (eV/atom): -6.17
Crystal system: tetragonal

```
HfPHO2
1.0
3.976 0.000 0.000
0.000 3.976 0.000
0.000 0.000 3.049
Hf P H O
1 1 1 2
Cartesian
0.000 0.000 0.000
1.988 1.988 0.000
1.988 1.988 1.525
0.000 1.988 1.525
1.988 0.000 1.525
```